First-principles (PBE) data for a geometry-optimized Na2AlIn structure, as listed in Alexandria.

Unit cell a=3.2456 b=3.2456 c=35.3895 alpha=90.00 beta=90.00 gamma=120.00
Space group R-3m (No. 166, hexagonal axes)
Inequivalent atoms, fractional coordinates:
Na: 0.0000 0.0000 0.0867
Al: 0.0000 0.0000 0.0000
In: 0.0000 0.0000 0.5000

Calculated values
The density comes out at 2.897 Mg/m³. The value obtained for the calculated formation energy is 222 meV/atom.